[1]
Entry from Alexandria via LeMat-Bulk: a relaxed CaCu2PRh crystal (PBE).

* calculated formation energy: 24 kJ per mole of atoms
* D(E_F): 0.726 states/eV per atom
* electronic total energy: -21.74 eV per cell
* space-group type: P4/mmm (123)

Unit cell a=4.2742 b=4.2742 c=5.3773 alpha=90.00 beta=90.00 gamma=90.00
With the nearest neighbours (Å) after each atom.
Element x y z (fractional)
Ca 0.0000 0.0000 0.0000  2 P 2.69
Cu 0.0000 0.5000 0.5000  2 P 2.14
Cu 0.5000 0.0000 0.5000  2 P 2.14
P 0.0000 0.0000 0.5000  4 Cu 2.14
Rh 0.5000 0.5000 0.0000  4 Ca 3.02

---

[2]
Entry from Alexandria via LeMat-Bulk: a relaxed CaCuPS4 crystal (PBE).

* D(E_F): 0.005 states/eV per atom
* electronic total energy: -64.94 eV per cell
* space-group type: Imma (74)

Unit cell a=7.5405 b=7.5405 c=7.5405 alpha=125.39 beta=102.71 gamma=101.59
With the nearest neighbours (Å) after each atom.
Element x y z (fractional)
Ca 0.0000 0.0000 0.0000  6 S 2.88-2.95
Ca 0.5000 0.0000 0.5000  6 S 2.88-2.95
Cu 0.5000 0.0000 0.0000  2 S 2.14
Cu 0.5000 0.5000 0.5000  2 S 2.14
P 0.1493 0.3993 0.7500  4 S 1.99-2.18
P 0.8507 0.6007 0.2500  4 S 1.99-2.18
S 0.1350 0.6972 0.4378  1 P 1.99
S 0.2406 0.3028 0.9378  1 P 1.99
S 0.2757 0.2629 0.4872  1 Cu 2.14, 1 P 2.18
S 0.2757 0.7886 0.0128  1 Cu 2.14, 1 P 2.18
S 0.7243 0.2114 0.9872  1 Cu 2.14, 1 P 2.18
S 0.7243 0.7371 0.5128  1 Cu 2.14, 1 P 2.18
S 0.7594 0.6972 0.0622  1 P 1.99
S 0.8650 0.3028 0.5622  1 P 1.99

---

[3]
Entry from Alexandria via LeMat-Bulk: a relaxed CaCuPS2 crystal (PBE).

* energy above the most stable polymorph in this dataset: 0 meV/atom
* D(E_F): 0.579 states/eV per atom
* electronic total energy: -21.08 eV per cell
* space-group type: P4/mmm (123)

Unit cell a=4.8372 b=4.8372 c=4.2850 alpha=90.00 beta=90.00 gamma=90.00
With the nearest neighbours (Å) after each atom.
Element x y z (fractional)
Ca 0.0000 0.0000 0.0000  8 S 3.23, 4 P 3.42
Cu 0.5000 0.5000 0.5000  2 P 2.14
P 0.5000 0.5000 0.0000  2 Cu 2.14
S 0.0000 0.5000 0.5000  2 Cu 2.42
S 0.5000 0.0000 0.5000  2 Cu 2.42

---

[4]
Entry from Alexandria via LeMat-Bulk: a relaxed CaCuPS2 crystal (PBE).

* energy above the most stable polymorph in this dataset: 1090 meV/atom
* D(E_F): 0.932 states/eV per atom
* electronic total energy: -15.63 eV per cell
* space-group type: P4/mmm (123)

Unit cell a=5.1866 b=5.1866 c=5.3154 alpha=90.00 beta=90.00 gamma=90.00
With the nearest neighbours (Å) after each atom.
Element x y z (fractional)
Ca 0.0000 0.0000 0.0000  4 S 2.59, 2 P 2.66
Cu 0.5000 0.5000 0.5000  4 P 3.67, 8 S 3.71
P 0.0000 0.0000 0.5000  2 Ca 2.66
S 0.0000 0.5000 0.0000  2 Ca 2.59
S 0.5000 0.0000 0.0000  2 Ca 2.59